Material: PrTh2Si2Rh7
Method: DFT, PBE-GGA
State: relaxed

Calculated values
For the uncorrected formation energy, the calculation gives -0.84 eV/atom. The calculation puts the total energy at -7.668 eV per atom. Its total magnetic moment is 0.00 Bohr magnetons per cell.

Geometry as CIF:
```
data_PrTh2Si2Rh7
_space_group_name_H-M_alt 'C 1 2/m 1'
_space_group_IT_number 12
_cell_length_a 5.877
_cell_length_b 5.803
_cell_length_c 13.165
_cell_angle_alpha 90.00
_cell_angle_beta 97.95
_cell_angle_gamma 90.00
loop_
_space_group_symop_operation_xyz
'x,y,z'
'-x,-y,-z'
'-x,y,-z'
'x,-y,z'
'x+1/2,y+1/2,z'
'-x+1/2,-y+1/2,-z'
'-x+1/2,y+1/2,-z'
'x+1/2,-y+1/2,z'
loop_
_atom_site_label
_atom_site_fract_x
_atom_site_fract_y
_atom_site_fract_z
Pr1 0.000 0.000 0.000
Th1 0.098 0.000 0.350
Si1 0.077 0.500 0.255
Rh1 0.000 0.500 0.000
Rh2 0.152 0.500 0.434
Rh3 0.199 0.250 0.831
```

Material: Pr2TmSi3Rh4
Method: DFT, PBE-GGA
State: relaxed

Calculated values
For the uncorrected formation energy, the calculation gives -0.98 eV/atom. The calculation puts the total energy at -6.950 eV per atom. Its total magnetic moment is 0.00 Bohr magnetons per cell.

Geometry as CIF:
```
data_Pr2TmSi3Rh4
_space_group_name_H-M_alt 'P -4 m 2'
_space_group_IT_number 115
_cell_length_a 4.170
_cell_length_b 4.170
_cell_length_c 10.820
_cell_angle_alpha 90.00
_cell_angle_beta 90.00
_cell_angle_gamma 90.00
loop_
_space_group_symop_operation_xyz
'x,y,z'
'y,-x,-z'
'-x,-y,z'
'-y,x,-z'
'-x,y,z'
'-y,-x,-z'
'x,-y,z'
'y,x,-z'
loop_
_atom_site_label
_atom_site_fract_x
_atom_site_fract_y
_atom_site_fract_z
Pr1 0.000 0.500 0.234
Tm1 0.000 0.000 0.500
Si1 0.000 0.500 0.882
Si2 0.500 0.500 0.500
Rh1 0.000 0.000 0.000
Rh2 0.000 0.500 0.657
Rh3 0.500 0.500 0.000
```

Material: Pr2USiRh6
Method: DFT, PBE-GGA
State: relaxed

Calculated values
For the uncorrected formation energy, the calculation gives -0.58 eV/atom. The calculation puts the total energy at -7.619 eV per atom. Its total magnetic moment is 0.00 Bohr magnetons per cell.

Geometry as CIF:
```
data_Pr2USiRh6
_space_group_name_H-M_alt 'P -1'
_space_group_IT_number 2
_cell_length_a 6.232
_cell_length_b 6.280
_cell_length_c 6.673
_cell_angle_alpha 115.11
_cell_angle_beta 94.82
_cell_angle_gamma 115.50
loop_
_space_group_symop_operation_xyz
'x,y,z'
'-x,-y,-z'
loop_
_atom_site_label
_atom_site_fract_x
_atom_site_fract_y
_atom_site_fract_z
Pr1 0.214 0.099 0.295
U1 0.500 0.500 0.000
Si1 0.000 0.500 0.500
Rh1 0.176 0.598 0.892
Rh2 0.319 0.669 0.338
Rh3 0.328 0.996 0.781
```